PBE+U CeDy2MoO8, optimized geometry; electronic total energy = -8.016 eV/atom; V = 173 Å³/cell
1.0
5.023 -0.068 -0.003
-0.049 5.020 -0.005
0.004 0.008 6.866
O Dy Ce Mo
8 2 1 1
direct
0.818 0.183 0.786
0.277 0.276 0.000
0.182 0.817 0.214
0.696 0.697 0.500
0.304 0.303 0.500
0.818 0.183 0.214
0.182 0.817 0.786
0.723 0.724 0.000
0.500 0.500 0.243
0.500 0.500 0.757
0.000 0.000 0.500
0.000 0.000 0.000